Entry 1:
Here is crystalline ReO2 at its relaxed geometry from Alexandria. Energies are from PBE.

a = 4.8909 Å, b = 5.6945 Å, c = 4.6276 Å
α = 90.00°, β = 90.00°, γ = 90.00°
Space group Pbcn (No. 60)
Symmetry-distinct sites (fractional):
Re: 0.0000 0.1077 0.2500 x4
O: 0.2422 0.3599 0.0915 x8

Properties
Total DFT energy (no corrections) in eV per atom: -8.8813
Calculated density in kg/m3: 11246
Formation energy without anion corrections in eV/atom: -1.426
Calculated volume in A^3/atom: 10.740
D(E_F) in states/eV per cell: 4.594
Total magnetic moment in μB/f.u.: 0.0

Entry 2:
Here is crystalline Re3O8 at its relaxed geometry from Alexandria. Energies are from PBE.

a = 9.6522 Å, b = 5.6147 Å, c = 4.7953 Å
α = 90.00°, β = 93.33°, γ = 90.00°
Space group C2/m (No. 12)
Symmetry-distinct sites (fractional):
Re: 0.0000 0.0000 0.0000 x2
Re: 0.2500 0.2500 0.5000 x4
O: 0.1025 0.2266 0.2211 x8
O: 0.1501 0.0000 0.7278 x4
O: 0.1516 0.5000 0.6930 x4

Properties
Total DFT energy (no corrections) in eV per atom: -8.3716
Calculated density in kg/m3: 8789
Formation energy without anion corrections in eV/atom: -1.371
Calculated volume in A^3/atom: 11.793
D(E_F) in states/eV per cell: 10.328
Total magnetic moment in μB/f.u.: 0.0